VTe2C2 | PBE | optimized geometry

Geometry as CIF:
```
data_VTe2C2
_chemical_formula_sum 'V2 Te4 C4'
_space_group_name_H-M_alt 'P 4/m b m'
_space_group_IT_number 127
_space_group_name_Hall '-P 4 2ab'
_cell_length_a 6.7136
_cell_length_b 6.7136
_cell_length_c 3.4886
_cell_angle_alpha 90.00
_cell_angle_beta 90.00
_cell_angle_gamma 90.00
loop_
_atom_site_label
_atom_site_fract_x
_atom_site_fract_y
_atom_site_fract_z
V1 0.0000 0.0000 0.0000
Te1 0.1690 0.3310 0.5000
C1 0.1950 0.6950 0.0000
```

Summary:
The spin magnetization is 1.45 μB per formula unit. As for the density of states at the Fermi level: 6.171 states/eV/cell. The distance to the lowest polymorph of the same formula is 0.395 eV per atom. The calculated total energy is -5.43 eV/atom. The energy relative to the elements, uncorrected is 1341 meV per atom.

***

V4Te5C | PBE | optimized geometry

Geometry as CIF:
```
data_V4Te5C
_chemical_formula_sum 'V8 Te10 C2'
_space_group_name_H-M_alt 'C 1 2/m 1'
_space_group_IT_number 12
_cell_length_a 17.3981
_cell_length_b 3.3214
_cell_length_c 7.6329
_cell_angle_alpha 90.00
_cell_angle_beta 103.09
_cell_angle_gamma 90.00
loop_
_space_group_symop_operation_xyz
'x,y,z'
'-x,-y,-z'
'-x,y,-z'
'x,-y,z'
'x+1/2,y+1/2,z'
'-x+1/2,-y+1/2,-z'
'-x+1/2,y+1/2,-z'
'x+1/2,-y+1/2,z'
loop_
_atom_site_label
_atom_site_fract_x
_atom_site_fract_y
_atom_site_fract_z
V1 0.0013 0.0000 0.3285
V2 0.1147 0.5000 0.5600
Te1 0.0000 0.5000 0.0000
Te2 0.1537 0.0000 0.8383
Te3 0.1580 0.0000 0.3272
C1 0.0000 0.5000 0.5000
```

Summary:
The spin magnetization is 0.00 μB per formula unit. As for the density of states at the Fermi level: 14.183 states/eV/cell. The calculated total energy is -6.47 eV/atom. The energy relative to the elements, uncorrected is -325 meV per atom.

***

VTeC3 | PBE | optimized geometry

Geometry as CIF:
```
data_VTeC3
_chemical_formula_sum 'V1 Te1 C3'
_space_group_name_H-M_alt 'P m -3 m'
_space_group_IT_number 221
_space_group_name_Hall '-P 4 2 3'
_cell_length_a 4.0181
_cell_length_b 4.0181
_cell_length_c 4.0181
_cell_angle_alpha 90.00
_cell_angle_beta 90.00
_cell_angle_gamma 90.00
loop_
_atom_site_label
_atom_site_fract_x
_atom_site_fract_y
_atom_site_fract_z
V1 0.0000 0.0000 0.0000
Te1 0.5000 0.5000 0.5000
C1 0.0000 0.0000 0.5000
```

Summary:
The spin magnetization is 0.00 μB per formula unit. As for the density of states at the Fermi level: 3.124 states/eV/cell. The distance to the lowest polymorph of the same formula is 0.000 eV per atom. The calculated total energy is -6.05 eV/atom. The energy relative to the elements, uncorrected is 1934 meV per atom.

***

VTe3C | PBE | optimized geometry

Geometry as CIF:
```
data_VTe3C
_chemical_formula_sum 'V1 Te3 C1'
_space_group_name_H-M_alt 'P m -3 m'
_space_group_IT_number 221
_space_group_name_Hall '-P 4 2 3'
_cell_length_a 5.1598
_cell_length_b 5.1598
_cell_length_c 5.1598
_cell_angle_alpha 90.00
_cell_angle_beta 90.00
_cell_angle_gamma 90.00
loop_
_atom_site_label
_atom_site_fract_x
_atom_site_fract_y
_atom_site_fract_z
V1 0.0000 0.0000 0.0000
Te1 0.0000 0.0000 0.5000
C1 0.5000 0.5000 0.5000
```

Summary:
The spin magnetization is 2.32 μB per formula unit. As for the density of states at the Fermi level: 2.839 states/eV/cell. The distance to the lowest polymorph of the same formula is 0.389 eV per atom. The calculated total energy is -4.09 eV/atom. The energy relative to the elements, uncorrected is 1467 meV per atom.

***

VTe3C | PBE | optimized geometry

Geometry as CIF:
```
data_VTe3C
_chemical_formula_sum 'V1 Te3 C1'
_space_group_name_H-M_alt 'P m -3 m'
_space_group_IT_number 221
_space_group_name_Hall '-P 4 2 3'
_cell_length_a 4.7393
_cell_length_b 4.7393
_cell_length_c 4.7393
_cell_angle_alpha 90.00
_cell_angle_beta 90.00
_cell_angle_gamma 90.00
loop_
_atom_site_label
_atom_site_fract_x
_atom_site_fract_y
_atom_site_fract_z
V1 0.0000 0.0000 0.0000
Te1 0.0000 0.5000 0.5000
C1 0.5000 0.5000 0.5000
```

Summary:
The spin magnetization is 2.48 μB per formula unit. As for the density of states at the Fermi level: 2.961 states/eV/cell. The distance to the lowest polymorph of the same formula is 0.000 eV per atom. The calculated total energy is -4.48 eV/atom. The energy relative to the elements, uncorrected is 1078 meV per atom.

***

VTeC | PBE | optimized geometry

Geometry as CIF:
```
data_VTeC
_chemical_formula_sum 'V4 Te4 C4'
_space_group_name_H-M_alt 'C 1 2/m 1'
_space_group_IT_number 12
_cell_length_a 10.8747
_cell_length_b 3.3609
_cell_length_c 7.8249
_cell_angle_alpha 90.00
_cell_angle_beta 112.12
_cell_angle_gamma 90.00
loop_
_space_group_symop_operation_xyz
'x,y,z'
'-x,-y,-z'
'-x,y,-z'
'x,-y,z'
'x+1/2,y+1/2,z'
'-x+1/2,-y+1/2,-z'
'-x+1/2,y+1/2,-z'
'x+1/2,-y+1/2,z'
loop_
_atom_site_label
_atom_site_fract_x
_atom_site_fract_y
_atom_site_fract_z
V1 0.1528 0.0000 0.0032
Te1 0.0841 0.0000 0.2965
C1 0.1528 0.5000 0.8952
```

Summary:
The spin magnetization is 0.00 μB per formula unit. As for the density of states at the Fermi level: 4.105 states/eV/cell. The calculated total energy is -6.87 eV/atom. The energy relative to the elements, uncorrected is 293 meV per atom.

***

V2Te2C | PBE | optimized geometry

Geometry as CIF:
```
data_V2Te2C
_chemical_formula_sum 'V4 Te4 C2'
_space_group_name_H-M_alt 'P 4/m b m'
_space_group_IT_number 127
_space_group_name_Hall '-P 4 2ab'
_cell_length_a 7.2869
_cell_length_b 7.2869
_cell_length_c 3.5175
_cell_angle_alpha 90.00
_cell_angle_beta 90.00
_cell_angle_gamma 90.00
loop_
_atom_site_label
_atom_site_fract_x
_atom_site_fract_y
_atom_site_fract_z
V1 0.1381 0.3619 0.0000
Te1 0.1624 0.6624 0.5000
C1 0.0000 0.0000 0.5000
```

Summary:
The spin magnetization is 3.35 μB per formula unit. As for the density of states at the Fermi level: 12.898 states/eV/cell. The calculated total energy is -5.51 eV/atom. The energy relative to the elements, uncorrected is 1243 meV per atom.

***

VTeC2 | PBE | optimized geometry

Geometry as CIF:
```
data_VTeC2
_chemical_formula_sum 'V4 Te4 C8'
_space_group_name_H-M_alt 'I -4 2 d'
_space_group_IT_number 122
_space_group_name_Hall 'I -4 2bw'
_cell_length_a 5.0004
_cell_length_b 5.0004
_cell_length_c 9.6201
_cell_angle_alpha 90.00
_cell_angle_beta 90.00
_cell_angle_gamma 90.00
loop_
_atom_site_label
_atom_site_fract_x
_atom_site_fract_y
_atom_site_fract_z
V1 0.0000 0.0000 0.0000
Te1 0.0000 0.0000 0.5000
C1 0.1856 0.2500 0.1250
```

Summary:
The spin magnetization is 0.00 μB per formula unit. As for the density of states at the Fermi level: 12.423 states/eV/cell. The calculated total energy is -6.61 eV/atom. The energy relative to the elements, uncorrected is 1067 meV per atom.

***

VTe2C2 | PBE | optimized geometry

Geometry as CIF:
```
data_VTe2C2
_chemical_formula_sum 'V2 Te4 C4'
_space_group_name_H-M_alt 'I 4/m m m'
_space_group_IT_number 139
_space_group_name_Hall '-I 4 2'
_cell_length_a 5.4691
_cell_length_b 5.4691
_cell_length_c 5.7186
_cell_angle_alpha 90.00
_cell_angle_beta 90.00
_cell_angle_gamma 90.00
loop_
_atom_site_label
_atom_site_fract_x
_atom_site_fract_y
_atom_site_fract_z
V1 0.0000 0.0000 0.0000
Te1 0.0000 0.5000 0.2500
C1 0.0000 0.0000 0.3860
```

Summary:
The spin magnetization is 1.70 μB per formula unit. As for the density of states at the Fermi level: 4.925 states/eV/cell. The distance to the lowest polymorph of the same formula is 0.000 eV per atom. The calculated total energy is -5.82 eV/atom. The energy relative to the elements, uncorrected is 946 meV per atom.

***

V2Te2C | PBE | optimized geometry

Geometry as CIF:
```
data_V2Te2C
_chemical_formula_sum 'V4 Te4 C2'
_space_group_name_H-M_alt 'I 4/m m m'
_space_group_IT_number 139
_space_group_name_Hall '-I 4 2'
_cell_length_a 3.5773
_cell_length_b 3.5773
_cell_length_c 15.4217
_cell_angle_alpha 90.00
_cell_angle_beta 90.00
_cell_angle_gamma 90.00
loop_
_atom_site_label
_atom_site_fract_x
_atom_site_fract_y
_atom_site_fract_z
V1 0.0000 0.5000 0.2500
Te1 0.0000 0.0000 0.1164
C1 0.0000 0.0000 0.5000
```

Summary:
The spin magnetization is 1.69 μB per formula unit. As for the density of states at the Fermi level: 9.417 states/eV/cell. The calculated total energy is -5.56 eV/atom. The energy relative to the elements, uncorrected is 1186 meV per atom.

***

VTeC3 | PBE | optimized geometry

Geometry as CIF:
```
data_VTeC3
_chemical_formula_sum 'V1 Te1 C3'
_space_group_name_H-M_alt 'P m -3 m'
_space_group_IT_number 221
_space_group_name_Hall '-P 4 2 3'
_cell_length_a 4.1245
_cell_length_b 4.1245
_cell_length_c 4.1245
_cell_angle_alpha 90.00
_cell_angle_beta 90.00
_cell_angle_gamma 90.00
loop_
_atom_site_label
_atom_site_fract_x
_atom_site_fract_y
_atom_site_fract_z
V1 0.0000 0.0000 0.0000
Te1 0.5000 0.5000 0.5000
C1 0.0000 0.5000 0.5000
```

Summary:
The spin magnetization is 2.20 μB per formula unit. As for the density of states at the Fermi level: 7.670 states/eV/cell. The distance to the lowest polymorph of the same formula is 0.957 eV per atom. The calculated total energy is -5.10 eV/atom. The energy relative to the elements, uncorrected is 2891 meV per atom.

***

TeW2C | PBE | optimized geometry

Geometry as CIF:
```
data_TeW2C
_chemical_formula_sum 'Te4 W8 C4'
_space_group_name_H-M_alt 'I -4 2 d'
_space_group_IT_number 122
_space_group_name_Hall 'I -4 2bw'
_cell_length_a 4.9519
_cell_length_b 4.9519
_cell_length_c 12.3752
_cell_angle_alpha 90.00
_cell_angle_beta 90.00
_cell_angle_gamma 90.00
loop_
_atom_site_label
_atom_site_fract_x
_atom_site_fract_y
_atom_site_fract_z
Te1 0.0000 0.0000 0.0000
W1 0.1178 0.2500 0.6250
C1 0.0000 0.0000 0.5000
```

Summary:
The spin magnetization is 0.00 μB per formula unit. As for the density of states at the Fermi level: 14.881 states/eV/cell. The distance to the lowest polymorph of the same formula is 0.000 eV per atom. The calculated total energy is -8.70 eV/atom. The energy relative to the elements, uncorrected is 868 meV per atom.